(1)
Here is a geometry-optimized CeHfZnRe structure from Alexandria. Energies are from GGA-PBE.

abc: 4.8278 4.8278 4.8278
angles: 60.00 60.00 60.00
With the nearest neighbours (Å) after each atom.
Atoms (fractional coordinates):
1 Re 0.5000 0.5000 0.5000  4 Hf 2.96, 4 Ce 2.96
2 Zn 0.0000 0.0000 0.0000  4 Ce 2.96, 4 Hf 2.96
3 Hf 0.7500 0.7500 0.7500  4 Re 2.96, 4 Zn 2.96
4 Ce 0.2500 0.2500 0.2500  4 Re 2.96, 4 Zn 2.96

Output
raw total energy = -7.45 eV/atom
size of the total moment = 0.000 μB per cell
symmetry = F-43m, No. 216

(2)
Here is a geometry-optimized AcBC structure from Alexandria. Energies are from GGA-PBE.

abc: 3.8235 7.9260 6.8742
angles: 90.00 90.00 90.00
With the nearest neighbours (Å) after each atom.
Atoms (fractional coordinates):
1 Ac 0.2500 0.3208 0.1603  5 C 2.74-2.88
2 Ac 0.7500 0.6792 0.8397  5 C 2.74-2.88
3 Ac 0.7500 0.1792 0.6603  5 C 2.74-2.88
4 Ac 0.2500 0.8208 0.3397  5 C 2.74-2.88
5 B 0.2500 0.4789 0.5771  1 C 1.46
6 B 0.7500 0.5211 0.4229  1 C 1.46
7 B 0.7500 0.0211 0.0771  1 C 1.46
8 B 0.2500 0.9789 0.9229  1 C 1.46
9 C 0.2500 0.9126 0.7241  1 B 1.46
10 C 0.7500 0.0874 0.2759  1 B 1.46
11 C 0.7500 0.5874 0.2241  1 B 1.46
12 C 0.2500 0.4126 0.7759  1 B 1.46

Output
ΔE to the lowest computed polymorph = 181 meV/atom
size of the total moment = 0.000 μB per cell
symmetry = Pnma, No. 62

(3)
Here is a geometry-optimized CrCu2W structure from Alexandria. Energies are from GGA-PBE.

abc: 4.1145 3.5442 3.5442
angles: 90.00 90.00 90.00
With the nearest neighbours (Å) after each atom.
Atoms (fractional coordinates):
1 Cr 0.5000 0.0000 0.5000  4 W 2.51, 8 Cu 2.72
2 Cu 0.0000 0.0000 0.0000  4 Cu 2.51, 4 Cr 2.72, 4 W 2.72
3 Cu 0.0000 0.5000 0.5000  4 Cu 2.51, 4 Cr 2.72, 4 W 2.72
4 W 0.5000 0.5000 0.0000  4 Cr 2.51, 8 Cu 2.72

Output
ΔE to the lowest computed polymorph = 75 meV/atom
size of the total moment = 0.286 μB per cell
symmetry = P4/mmm, No. 123

(4)
Here is a geometry-optimized NpSnTeSe2 structure from Alexandria. Energies are from GGA-PBE.

abc: 4.5204 4.5204 7.4562
angles: 107.65 107.65 90.00
With the nearest neighbours (Å) after each atom.
Atoms (fractional coordinates):
1 Np 0.1139 0.1139 0.2277  4 Se 2.89
2 Sn 0.8701 0.8701 0.7401  4 Se 2.80
3 Te 0.5212 0.5212 0.0424  4 Np 3.43, 4 Sn 3.79, 4 Se 3.79
4 Se 0.7474 0.2474 0.4949  2 Sn 2.80, 2 Np 2.89
5 Se 0.2474 0.7474 0.4949  2 Sn 2.80, 2 Np 2.89

Output
energy relative to the elements, uncorrected = -0.5284 eV/atom
size of the total moment = 3.181 μB per cell
symmetry = I4mm, No. 107

(5)
Here is a geometry-optimized Ca2PbCl2 structure from Alexandria. Energies are from GGA-PBE.

abc: 8.7280 8.7280 3.4299
angles: 90.00 90.00 90.00
With the nearest neighbours (Å) after each atom.
Atoms (fractional coordinates):
1 Pb 0.0000 0.0000 0.0000  2 Pb 3.43, 4 Cl 3.47, 8 Ca 3.64
2 Pb 0.5000 0.5000 0.0000  2 Pb 3.43, 4 Cl 3.47, 8 Ca 3.64
3 Ca 0.1791 0.6791 0.5000  6 Cl 3.00-3.18
4 Ca 0.6791 0.8209 0.5000  6 Cl 3.00-3.18
5 Ca 0.8209 0.3209 0.5000  6 Cl 3.00-3.18
6 Ca 0.3209 0.1791 0.5000  6 Cl 3.00-3.18
7 Cl 0.3784 0.8784 0.0000  6 Ca 3.00-3.18, 1 Cl 3.00
8 Cl 0.8784 0.6216 0.0000  6 Ca 3.00-3.18, 1 Cl 3.00
9 Cl 0.6216 0.1216 0.0000  6 Ca 3.00-3.18, 1 Cl 3.00
10 Cl 0.1216 0.3784 0.0000  6 Ca 3.00-3.18, 1 Cl 3.00

Output
energy relative to the elements, uncorrected = -1.1682 eV/atom
ΔE to the lowest computed polymorph = 0 meV/atom
size of the total moment = 0.000 μB per cell
symmetry = P4/mbm, No. 127

(6)
Here is a geometry-optimized YAl4Ni4 structure from Alexandria. Energies are from GGA-PBE.

abc: 4.4092 8.1764 8.1764
angles: 90.00 90.00 90.00
With the nearest neighbours (Å) after each atom.
Atoms (fractional coordinates):
1 Y 0.0000 0.0000 0.0000  4 Ni 2.98
2 Y 0.5000 0.5000 0.5000  4 Ni 2.98
3 Al 0.5001 0.3827 0.8939  5 Ni 2.33-2.57, 1 Al 2.59
4 Al 0.0001 0.6061 0.8827  5 Ni 2.33-2.57, 1 Al 2.59
5 Al 0.5001 0.6173 0.1061  5 Ni 2.33-2.57, 1 Al 2.59
6 Al 0.9999 0.1173 0.6061  5 Ni 2.33-2.57, 1 Al 2.59
7 Al 0.4999 0.8939 0.6173  5 Ni 2.33-2.57, 1 Al 2.59
8 Al 0.9999 0.8827 0.3939  5 Ni 2.33-2.57, 1 Al 2.59
9 Al 0.0001 0.3939 0.1173  5 Ni 2.33-2.57, 1 Al 2.59
10 Al 0.4999 0.1061 0.3827  5 Ni 2.33-2.57, 1 Al 2.59
11 Ni 0.4999 0.8126 0.3136  5 Al 2.33-2.57
12 Ni 0.4999 0.1874 0.6864  5 Al 2.33-2.57
13 Ni 0.9999 0.8136 0.6874  5 Al 2.33-2.57
14 Ni 0.0001 0.3126 0.8136  5 Al 2.33-2.57
15 Ni 0.0001 0.6874 0.1864  5 Al 2.33-2.57
16 Ni 0.5001 0.3136 0.1874  5 Al 2.33-2.57
17 Ni 0.5001 0.6864 0.8126  5 Al 2.33-2.57
18 Ni 0.9999 0.1864 0.3126  5 Al 2.33-2.57

Output
raw total energy = -5.32 eV/atom
size of the total moment = 0.000 μB per cell
symmetry = I4/m, No. 87

(7)
Here is a geometry-optimized Ca5Ga structure from Alexandria. Energies are from GGA-PBE.

abc: 5.3895 5.3023 7.6883
angles: 110.17 90.00 90.00
With the nearest neighbours (Å) after each atom.
Atoms (fractional coordinates):
1 Ca 0.5000 0.8456 0.6911  8 Ca 3.46-3.83, 2 Ga 3.50
2 Ca 0.0000 0.6478 0.2956  2 Ga 3.40, 6 Ca 3.44-3.78
3 Ca 0.5000 0.5000 0.0000  8 Ca 3.44-3.46, 4 Ga 3.78
4 Ca 0.0000 0.3522 0.7044  2 Ga 3.40, 6 Ca 3.44-3.78
5 Ca 0.5000 0.1544 0.3089  8 Ca 3.46-3.83, 2 Ga 3.50
6 Ga 0.0000 0.0000 0.0000  12 Ca 3.40-3.78

Output
ΔE to the lowest computed polymorph = 64 meV/atom
size of the total moment = 0.000 μB per cell
symmetry = Cmmm, No. 65

(8)
Here is a geometry-optimized TiV3Rh structure from Alexandria. Energies are from GGA-PBE.

abc: 4.3142 4.3142 4.3142
angles: 90.00 90.00 90.00
With the nearest neighbours (Å) after each atom.
Atoms (fractional coordinates):
1 V 0.0000 0.5000 0.0000  2 Ti 2.16
2 V 0.0000 0.0000 0.5000  2 Ti 2.16
3 V 0.5000 0.0000 0.0000  2 Ti 2.16
4 Rh 0.5000 0.5000 0.5000  12 V 3.05
5 Ti 0.0000 0.0000 0.0000  6 V 2.16

Output
ΔE to the lowest computed polymorph = 199 meV/atom
size of the total moment = 1.214 μB per cell
symmetry = Pm-3m, No. 221

(9)
Here is a geometry-optimized SiGeMo3 structure from Alexandria. Energies are from GGA-PBE.

abc: 4.4889 4.4889 4.4889
angles: 90.00 90.00 90.00
With the nearest neighbours (Å) after each atom.
Atoms (fractional coordinates):
1 Mo 0.0000 0.5000 0.0000  2 Si 2.24
2 Mo 0.0000 0.0000 0.5000  2 Si 2.24
3 Mo 0.5000 0.0000 0.0000  2 Si 2.24
4 Si 0.0000 0.0000 0.0000  6 Mo 2.24
5 Ge 0.5000 0.5000 0.5000  12 Mo 3.17

Output
energy relative to the elements, uncorrected = 0.9953 eV/atom
ΔE to the lowest computed polymorph = 1018 meV/atom
size of the total moment = 0.000 μB per cell
symmetry = Pm-3m, No. 221

(10)
Here is a geometry-optimized Cs4Pm3InSe8 structure from Alexandria. Energies are from GGA-PBE.

abc: 8.6696 9.7827 8.6711
angles: 116.31 119.99 90.00
With the nearest neighbours (Å) after each atom.
Atoms (fractional coordinates):
1 Cs 0.5000 0.0000 0.0000  6 Se 3.68
2 Cs 0.5000 0.0000 0.5000  6 Se 3.61
3 Cs 0.0000 0.0000 0.0000  6 Se 3.61
4 Cs 0.0000 0.0000 0.5000  6 Se 3.61
5 Pm 0.5000 0.5000 0.0000  6 Se 2.97-2.98
6 Pm 0.5000 0.5000 0.5000  6 Se 2.97-2.99
7 Pm 0.0000 0.5000 0.5000  6 Se 2.97-2.99
8 In 0.0000 0.5000 0.0000  6 Se 2.90
9 Se 0.2243 0.6869 0.9625  1 In 2.90, 2 Pm 2.98-2.99
10 Se 0.2246 0.6870 0.4492  1 In 2.90, 2 Pm 2.98
11 Se 0.2699 0.3097 0.5398  3 Pm 2.97
12 Se 0.7382 0.6869 0.9625  1 In 2.90, 2 Pm 2.98-2.99
13 Se 0.2618 0.3131 0.0375  1 In 2.90, 2 Pm 2.98-2.99
14 Se 0.7301 0.6903 0.4602  3 Pm 2.97
15 Se 0.7754 0.3130 0.5508  1 In 2.90, 2 Pm 2.98
16 Se 0.7757 0.3131 0.0375  1 In 2.90, 2 Pm 2.98-2.99

Output
energy relative to the elements, uncorrected = -1.4760 eV/atom
size of the total moment = 0.000 μB per cell
symmetry = R-3m, No. 166

(11)
Here is a geometry-optimized TcTeRh2 structure from Alexandria. Energies are from GGA-PBE.

abc: 4.7638 4.7638 2.9031
angles: 90.00 90.00 90.00
With the nearest neighbours (Å) after each atom.
Atoms (fractional coordinates):
1 Rh 0.0000 0.0000 0.0000  4 Te 2.79, 4 Tc 2.79, 2 Rh 2.90
2 Rh 0.5000 0.5000 0.0000  4 Tc 2.79, 4 Te 2.79, 2 Rh 2.90
3 Tc 0.5000 0.0000 0.5000  8 Rh 2.79, 2 Tc 2.90
4 Te 0.0000 0.5000 0.5000  8 Rh 2.79, 2 Te 2.90

Output
energy relative to the elements, uncorrected = 0.3272 eV/atom
size of the total moment = 0.831 μB per cell
symmetry = P4/mmm, No. 123

(12)
Here is a geometry-optimized Li2CrCo structure from Alexandria. Energies are from GGA-PBE.

abc: 2.7854 2.7854 7.0496
angles: 90.00 90.00 90.00
With the nearest neighbours (Å) after each atom.
Atoms (fractional coordinates):
1 Co 0.0000 0.0000 0.5369  4 Cr 2.28
2 Cr 0.5000 0.5000 0.7000  4 Co 2.28
3 Li 0.0000 0.0000 0.9755  4 Cr 2.77, 8 Li 2.79-2.95, 1 Co 3.09
4 Li 0.5000 0.5000 0.2875  4 Co 2.64, 8 Li 2.79-2.95, 1 Cr 2.91

Output
ΔE to the lowest computed polymorph = 19 meV/atom
size of the total moment = 0.000 μB per cell
symmetry = P4mm, No. 99